[1]
A plane-wave DFT calculation with PBE-GGA was carried out for a relaxed LiHo4In3 crystal.

The space group is I4/mmm (No. 139) and the conventional cell measures 5.167, 5.167 and 15.488 Å, with angles of 90.00, 90.00 and 90.00 degrees. The inequivalent atoms are Li at (0.000, 0.000, 0.000), Ho at (0.000, 0.500, 0.125), In at (0.000, 0.000, 0.246) and In at (0.000, 0.000, 0.500).

The calculation puts the density of states at the Fermi level at 0.6201 states/eV/atom. The calculation puts the energy relative to the elements at -36.08 kJ per mole of atoms. For the density, the calculation gives 8.12 g/cm³.

---

[2]
A plane-wave DFT calculation with PBE-GGA was carried out for a relaxed HfSc2Cr crystal.

The space group is Fm-3m (No. 225) and the conventional cell measures 6.799, 6.799 and 6.799 Å, with angles of 90.00, 90.00 and 90.00 degrees. The inequivalent atoms are Hf at (0.000, 0.000, 0.000), Sc at (0.250, 0.250, 0.250) and Cr at (0.000, 0.000, 0.500).

The calculation puts the density of states at the Fermi level at 1.8631 states/eV/atom. The calculation puts the energy relative to the elements at 47.05 kJ per mole of atoms. For the density, the calculation gives 6.77 g/cm³. The value obtained for the offset from the most stable computed form is 45.4 meV per atom.

---

[3]
A plane-wave DFT calculation with PBE-GGA was carried out for a relaxed ZrMnHg2 crystal.

The space group is P4mm (No. 99) and the conventional cell measures 3.219, 3.219 and 7.842 Å, with angles of 90.00, 90.00 and 90.00 degrees. The inequivalent atoms are Zr at (0.000, 0.000, 0.000), Mn at (0.500, 0.500, 0.769), Hg at (0.000, 0.000, 0.550) and Hg at (0.500, 0.500, 0.271).

The calculation puts the density of states at the Fermi level at 0.5003 states/eV/atom. The calculation puts the energy relative to the elements at 6.86 kJ per mole of atoms. For the density, the calculation gives 11.18 g/cm³.

---

Question: energy relative to the elements of number 3 (ZrMnHg2)?
Answer: 6.86 kJ per mole of atoms

---

Question: The highest energy relative to the elements belongs to which entry?
Answer: HfSc2Cr

---

Question: Among the records above, which one has the lowest energy relative to the elements?
Answer: LiHo4In3